[1]
Material: LaSiP2
Method: DFT, PBE
State: optimized geometry

```
16
Lattice="6.8987 0.0000 0.0000 0.0000 6.8987 0.0000 0.0000 0.0000 6.8987" Properties=species:S:1:pos:R:3 pbc="T T T"
La 0.0000 0.0000 0.0000
La 0.0000 3.4494 3.4494
La 3.4494 0.0000 3.4494
La 3.4494 3.4494 0.0000
Si 1.7247 1.7247 5.1740
Si 1.7247 5.1740 1.7247
Si 5.1740 1.7247 1.7247
Si 5.1740 5.1740 5.1740
P 0.0000 0.0000 3.4494
P 0.0000 3.4494 0.0000
P 1.7247 1.7247 1.7247
P 1.7247 5.1740 5.1740
P 3.4494 0.0000 0.0000
P 3.4494 3.4494 3.4494
P 5.1740 1.7247 5.1740
P 5.1740 5.1740 1.7247
```

Computed properties:
Formation energy from raw total energies (meV per atom): 76
DOS at the Fermi energy (states/eV per atom): 0.923

***

[2]
Material: La2SiP3
Method: DFT, PBE
State: optimized geometry

```
24
Lattice="3.1303 -6.4278 0.0000 3.1303 6.4278 0.0000 -1.1201 0.0000 14.0090" Properties=species:S:1:pos:R:3 pbc="T T T"
La 1.0402 2.6362 4.8257
La 0.4661 1.2848 13.0109
La 1.0261 -1.2848 6.0064
La 0.4801 -2.6362 11.8302
La 4.6603 2.6362 2.1789
La 4.1143 1.2848 8.0027
La 4.6744 -1.2848 0.9981
La 4.1002 -2.6362 9.1834
Si 1.5558 0.0588 2.1630
Si 0.9957 -0.0588 9.1675
Si 4.1447 0.0588 4.8415
Si 3.5847 -0.0588 11.8460
P 2.2902 6.1513 10.5068
P 1.6900 2.2971 1.8560
P 0.9464 1.3510 7.4378
P 1.5064 -1.3510 0.4333
P 2.2902 1.2117 10.5068
P 1.1300 -2.2971 8.8605
P 4.0105 2.2971 5.1485
P 2.8503 -1.2117 3.5023
P 3.6340 1.3510 13.5758
P 4.1941 -1.3510 6.5713
P 3.4504 -2.2971 12.1530
P 2.8503 -6.1513 3.5023
```

Computed properties:
Formation energy from raw total energies (meV per atom): -997
DOS at the Fermi energy (states/eV per atom): 0.471

***

[3]
Material: LaSiP2
Method: DFT, PBE
State: optimized geometry

```
8
Lattice="3.5143 0.0000 0.0000 0.0000 5.5330 0.0000 0.0000 0.0000 8.3291" Properties=species:S:1:pos:R:3 pbc="T T T"
La 0.0000 0.0000 0.0000
La 1.7572 2.7665 4.1646
Si 0.0000 0.0000 4.1646
Si 1.7572 2.7665 0.0000
P 0.0000 2.7665 1.5644
P 0.0000 2.7665 6.7648
P 1.7572 0.0000 2.6002
P 1.7572 0.0000 5.7290
```

Computed properties:
Formation energy from raw total energies (meV per atom): -456
DOS at the Fermi energy (states/eV per atom): 0.753

***

[4]
Material: LaSiP2
Method: DFT, PBE
State: optimized geometry

```
16
Lattice="6.9075 0.0000 0.0000 0.0000 6.9075 0.0000 0.0000 0.0000 7.1792" Properties=species:S:1:pos:R:3 pbc="T T T"
La 0.0000 0.0000 0.0000
La 0.0000 3.4538 1.7948
La 3.4538 0.0000 5.3844
La 3.4538 3.4538 3.5896
Si 0.0000 0.0000 3.5896
Si 0.0000 3.4538 5.3844
Si 3.4538 0.0000 1.7948
Si 3.4538 3.4538 0.0000
P 1.1435 5.1806 4.4870
P 1.7269 1.1435 2.6922
P 1.7269 2.3102 6.2818
P 2.3102 5.1806 0.8974
P 4.5973 1.7269 0.8974
P 5.1806 4.5973 6.2818
P 5.1806 5.7640 2.6922
P 5.7640 1.7269 4.4870
```

Computed properties:
Formation energy from raw total energies (meV per atom): -664
DOS at the Fermi energy (states/eV per atom): 0.186

***

[5]
Material: LaSiP
Method: DFT, PBE
State: optimized geometry

```
12
Lattice="6.8422 0.0000 0.0000 0.0000 6.8422 0.0000 0.0000 0.0000 6.8422" Properties=species:S:1:pos:R:3 pbc="T T T"
La 0.0000 0.0000 0.0000
La 0.0000 3.4211 3.4211
La 3.4211 0.0000 3.4211
La 3.4211 3.4211 0.0000
Si 1.7106 1.7106 5.1317
Si 1.7106 5.1317 1.7106
Si 5.1317 1.7106 1.7106
Si 5.1317 5.1317 5.1317
P 1.7106 1.7106 1.7106
P 1.7106 5.1317 5.1317
P 5.1317 1.7106 5.1317
P 5.1317 5.1317 1.7106
```

Computed properties:
Formation energy from raw total energies (meV per atom): -8
DOS at the Fermi energy (states/eV per atom): 0.704

***

[6]
Material: LaSiP
Method: DFT, PBE
State: optimized geometry

```
12
Lattice="6.6441 0.0000 0.0000 0.0000 6.6441 0.0000 0.0000 0.0000 6.6441" Properties=species:S:1:pos:R:3 pbc="T T T"
La 0.0000 0.0000 0.0000
La 0.0000 3.3220 3.3220
La 3.3220 0.0000 3.3220
La 3.3220 3.3220 0.0000
Si 1.6610 1.6610 4.9831
Si 1.6610 4.9831 1.6610
Si 4.9831 1.6610 1.6610
Si 4.9831 4.9831 4.9831
P 0.0000 0.0000 3.3220
P 0.0000 3.3220 0.0000
P 3.3220 0.0000 0.0000
P 3.3220 3.3220 3.3220
```

Computed properties:
Formation energy from raw total energies (meV per atom): -127
DOS at the Fermi energy (states/eV per atom): 0.888

***

[7]
Material: LaSiP2
Method: DFT, PBE
State: optimized geometry

```
8
Lattice="8.6161 0.0000 0.0000 0.0000 3.8722 0.0000 -1.7139 0.0000 4.7280" Properties=species:S:1:pos:R:3 pbc="T T T"
La 0.0000 0.0000 0.0000
La 4.3081 1.9361 0.0000
Si -0.8569 1.9361 2.3640
Si 3.4511 0.0000 2.3640
P 0.8197 0.0000 2.9261
P 1.7745 1.9361 1.8019
P 5.1278 1.9361 2.9261
P 6.0825 0.0000 1.8019
```

Computed properties:
Formation energy from raw total energies (meV per atom): -507
DOS at the Fermi energy (states/eV per atom): 0.286

***

[8]
Material: LaSiP
Method: DFT, PBE
State: optimized geometry

```
6
Lattice="4.1587 0.0000 0.0000 0.0000 4.3337 0.0000 -2.0768 0.0000 7.6645" Properties=species:S:1:pos:R:3 pbc="T T T"
La -0.0014 1.0834 1.9961
La 2.0833 3.2503 5.6684
Si 0.0002 1.0834 7.2266
Si 2.0817 3.2503 0.4378
P 0.0050 1.0834 5.0378
P 2.0769 3.2503 2.6267
```

Computed properties:
Formation energy from raw total energies (meV per atom): -983
DOS at the Fermi energy (states/eV per atom): 0.207

***

no.,mass density (g cm⁻³)
1,4.63
2,4.70
3,4.69
4,4.44
5,4.10
6,4.48
7,4.82
8,4.76